First-principles (PBE) data for an optimized crystal structure of CeIn5Hg8, as listed in Alexandria.

Structure (CIF):
```
data_CeIn5Hg8
_chemical_formula_sum 'Ce2 In10 Hg16'
_symmetry_space_group_name_H-M 'I -4'
_symmetry_Int_Tables_number 82
_cell_length_a 9.168
_cell_length_b 9.168
_cell_length_c 9.054
_cell_angle_alpha 90.00
_cell_angle_beta 90.00
_cell_angle_gamma 90.00
loop_
_symmetry_equiv_pos_as_xyz
'x,y,z'
'y,-x,-z'
'-x,-y,z'
'-y,x,-z'
'x+1/2,y+1/2,z+1/2'
'y+1/2,-x+1/2,-z+1/2'
'-x+1/2,-y+1/2,z+1/2'
'-y+1/2,x+1/2,-z+1/2'
loop_
_atom_site_label
_atom_site_fract_x
_atom_site_fract_y
_atom_site_fract_z
Ce1 0.000 0.000 0.000
In1 0.000 0.500 0.750
In2 0.143 0.251 0.369
Hg1 0.077 0.168 0.691
Hg2 0.078 0.343 0.051
```

Calculated values
Calculated density, g cm⁻³: 10.12
Total moment, μB per formula unit: 1.22
Electronic total energy, eV per atom: -1.62
Crystal system: tetragonal
DFT formation energy, eV/atom: -0.045

First-principles (PBE) data for an optimized crystal structure of Ce6InHg, as listed in Alexandria.

Structure (CIF):
```
data_Ce6InHg
_chemical_formula_sum 'Ce6 In1 Hg1'
_symmetry_space_group_name_H-M 'P 4/m m m'
_symmetry_Int_Tables_number 123
_symmetry_space_group_name_Hall '-P 4 2'
_cell_length_a 4.792
_cell_length_b 4.792
_cell_length_c 9.578
_cell_angle_alpha 90.00
_cell_angle_beta 90.00
_cell_angle_gamma 90.00
loop_
_atom_site_label
_atom_site_fract_x
_atom_site_fract_y
_atom_site_fract_z
Ce1 0.000 0.000 0.000
Ce2 0.000 0.000 0.500
Ce3 0.000 0.500 0.250
In1 0.500 0.500 0.000
Hg1 0.500 0.500 0.500
```

Calculated values
Calculated density, g cm⁻³: 8.73
Total moment, μB per formula unit: 5.83
Electronic total energy, eV per atom: -4.97
Crystal system: tetragonal
DFT formation energy, eV/atom: -0.142

First-principles (PBE) data for an optimized crystal structure of CeIn2Hg4, as listed in Alexandria.

Structure (CIF):
```
data_CeIn2Hg4
_chemical_formula_sum 'Ce1 In2 Hg4'
_symmetry_space_group_name_H-M 'P 4/m m m'
_symmetry_Int_Tables_number 123
_symmetry_space_group_name_Hall '-P 4 2'
_cell_length_a 5.042
_cell_length_b 5.042
_cell_length_c 7.391
_cell_angle_alpha 90.00
_cell_angle_beta 90.00
_cell_angle_gamma 90.00
loop_
_atom_site_label
_atom_site_fract_x
_atom_site_fract_y
_atom_site_fract_z
Ce1 0.000 0.000 0.000
In1 0.000 0.000 0.500
In2 0.500 0.500 0.000
Hg1 0.000 0.500 0.275
```

Calculated values
Calculated density, g cm⁻³: 10.36
Total moment, μB per formula unit: 0.98
Electronic total energy, eV per atom: -2.02
Crystal system: tetragonal
DFT formation energy, eV/atom: -0.214

First-principles (PBE) data for an optimized crystal structure of Ce7In3Hg2, as listed in Alexandria.

Structure (CIF):
```
data_Ce7In3Hg2
_chemical_formula_sum 'Ce7 In3 Hg2'
_symmetry_space_group_name_H-M 'P 1 2/m 1'
_symmetry_Int_Tables_number 10
_cell_length_a 5.988
_cell_length_b 5.157
_cell_length_c 11.405
_cell_angle_alpha 90.00
_cell_angle_beta 93.96
_cell_angle_gamma 90.00
loop_
_symmetry_equiv_pos_as_xyz
'x,y,z'
'-x,-y,-z'
'-x,y,-z'
'x,-y,z'
loop_
_atom_site_label
_atom_site_fract_x
_atom_site_fract_y
_atom_site_fract_z
Ce1 0.000 0.000 0.000
Ce2 0.038 0.500 0.150
Ce3 0.191 0.500 0.447
Ce4 0.412 0.000 0.184
In1 0.072 0.000 0.672
In2 0.500 0.500 0.000
Hg1 0.390 0.500 0.705
```

Calculated values
Calculated density, g cm⁻³: 8.16
Total moment, μB per formula unit: 7.64
Electronic total energy, eV per atom: -4.29
Crystal system: monoclinic
DFT formation energy, eV/atom: -0.091

First-principles (PBE) data for an optimized crystal structure of Ce2In2Hg, as listed in Alexandria.

Structure (CIF):
```
data_Ce2In2Hg
_chemical_formula_sum 'Ce2 In2 Hg1'
_symmetry_space_group_name_H-M 'P -3 m 1'
_symmetry_Int_Tables_number 164
_symmetry_space_group_name_Hall '-P 3 2"'
_cell_length_a 3.2529
_cell_length_b 3.2529
_cell_length_c 14.9060
_cell_angle_alpha 90.00
_cell_angle_beta 90.00
_cell_angle_gamma 120.00
loop_
_atom_site_label
_atom_site_fract_x
_atom_site_fract_y
_atom_site_fract_z
Ce1 0.0000 0.0000 0.2218
In1 0.3333 0.6667 0.4102
Hg1 0.0000 0.0000 0.0000
```

Calculated values
Calculated density, g cm⁻³: 8.64
Total moment, μB per formula unit: 1.24
Electronic total energy, eV per atom: -3.52
Crystal system: trigonal
DFT formation energy, eV/atom: 0.013

First-principles (PBE) data for an optimized crystal structure of Ce5In6Hg, as listed in Alexandria.

Structure (CIF):
```
data_Ce5In6Hg
_chemical_formula_sum 'Ce10 In12 Hg2'
_symmetry_space_group_name_H-M 'C 1 2/m 1'
_symmetry_Int_Tables_number 12
_cell_length_a 16.588
_cell_length_b 6.613
_cell_length_c 5.902
_cell_angle_alpha 90.00
_cell_angle_beta 90.27
_cell_angle_gamma 90.00
loop_
_symmetry_equiv_pos_as_xyz
'x,y,z'
'-x,-y,-z'
'-x,y,-z'
'x,-y,z'
'x+1/2,y+1/2,z'
'-x+1/2,-y+1/2,-z'
'-x+1/2,y+1/2,-z'
'x+1/2,-y+1/2,z'
loop_
_atom_site_label
_atom_site_fract_x
_atom_site_fract_y
_atom_site_fract_z
Ce1 0.000 0.000 0.000
Ce2 0.163 0.000 0.689
Ce3 0.165 0.500 0.697
In1 0.000 0.255 0.500
In2 0.163 0.254 0.192
Hg1 0.000 0.500 0.000
```

Calculated values
Calculated density, g cm⁻³: 8.16
Total moment, μB per formula unit: 6.05
Electronic total energy, eV per atom: -4.18
Crystal system: monoclinic
DFT formation energy, eV/atom: -0.312

First-principles (PBE) data for an optimized crystal structure of Ce5InHg3, as listed in Alexandria.

Structure (CIF):
```
data_Ce5InHg3
_chemical_formula_sum 'Ce10 In2 Hg6'
_symmetry_space_group_name_H-M 'P 63/m c m'
_symmetry_Int_Tables_number 193
_symmetry_space_group_name_Hall '-P 6c 2'
_cell_length_a 9.4371
_cell_length_b 9.4371
_cell_length_c 6.5538
_cell_angle_alpha 90.00
_cell_angle_beta 90.00
_cell_angle_gamma 120.00
loop_
_atom_site_label
_atom_site_fract_x
_atom_site_fract_y
_atom_site_fract_z
Ce1 0.0000 0.3086 0.2500
Ce2 0.3333 0.6667 0.0000
In1 0.0000 0.0000 0.0000
Hg1 0.0000 0.3567 0.7500
```

Calculated values
Calculated density, g cm⁻³: 9.31
Total moment, μB per formula unit: 6.43
Electronic total energy, eV per atom: -3.93
Crystal system: hexagonal
DFT formation energy, eV/atom: -0.226

First-principles (PBE) data for an optimized crystal structure of CeInHg, as listed in Alexandria.

Structure (CIF):
```
data_CeInHg
_chemical_formula_sum 'Ce4 In4 Hg4'
_symmetry_space_group_name_H-M 'I m m 2'
_symmetry_Int_Tables_number 44
_cell_length_a 4.973
_cell_length_b 7.396
_cell_length_c 8.696
_cell_angle_alpha 90.00
_cell_angle_beta 90.00
_cell_angle_gamma 90.00
loop_
_symmetry_equiv_pos_as_xyz
'x,y,z'
'-x,-y,z'
'-x,y,z'
'x,-y,z'
'x+1/2,y+1/2,z+1/2'
'-x+1/2,-y+1/2,z+1/2'
'-x+1/2,y+1/2,z+1/2'
'x+1/2,-y+1/2,z+1/2'
loop_
_atom_site_label
_atom_site_fract_x
_atom_site_fract_y
_atom_site_fract_z
Ce1 0.000 0.000 0.000
Ce2 0.000 0.500 0.010
In1 0.000 0.276 0.674
Hg1 0.000 0.281 0.338
```

Calculated values
Calculated density, g cm⁻³: 9.46
Total moment, μB per formula unit: 0.11
Electronic total energy, eV per atom: -3.34
Crystal system: orthorhombic
DFT formation energy, eV/atom: -0.354